Material: TcTeO5
Method: DFT, PBE-GGA
State: optimized geometry

## Properties
E, eV for the cell shown: -92.27
Total magnetization, μB/atom: 0.000
Symmetry: Cc (9)
ρ, Mg/m³: 4.98
Formation energy from raw total energies, meV per atom: -1119

abc: 5.540 5.540 7.446
angles: 107.30 107.30 73.97
Fractional positions:
Tc (0.003, 0.997, 0.500)
Tc (0.997, 0.003, 0.000)
Te (0.457, 0.494, 0.233)
Te (0.494, 0.457, 0.733)
O (0.071, 0.964, 0.765)
O (0.214, 0.274, 0.116)
O (0.274, 0.214, 0.616)
O (0.294, 0.692, 0.449)
O (0.318, 0.725, 0.058)
O (0.692, 0.294, 0.949)
O (0.725, 0.318, 0.558)
O (0.782, 0.801, 0.424)
O (0.801, 0.782, 0.924)
O (0.964, 0.071, 0.265)